Record 1
Li8NbFe7P12O48: optimized geometry, PBE with a Hubbard U.

```
Li8NbFe7P12O48
1.0
8.6881 0.0000 0.0000
0.0062 8.7962 0.0000
0.0172 0.0249 12.2524
Li Nb Fe P O
8 1 7 12 48
Cartesian
0.0000 0.0000 0.0000
0.0235 8.2825 4.5436
3.7269 4.4198 0.0194
3.7761 3.9403 4.5471
4.3196 8.3337 6.1740
4.3604 0.0429 10.6785
8.0618 3.9410 6.2731
8.0838 4.4557 10.6718
8.3560 2.3242 3.6538
4.0367 2.3411 7.0475
4.0494 6.0521 9.7905
4.0496 1.6327 0.9113
4.0785 6.7249 3.6589
8.3744 6.0654 0.9154
8.4008 1.6591 9.7835
8.4167 6.7325 7.0608
0.9679 2.9317 0.4407
0.9814 5.4752 4.0859
1.5324 4.1956 8.4375
2.2270 8.5962 8.4330
2.8007 7.3154 0.4965
2.8244 1.0582 4.0851
5.3064 2.9356 10.2160
5.3010 5.4576 6.6134
5.8247 4.2433 2.2242
6.5433 8.5641 2.2540
7.1202 1.0407 6.6301
7.1480 7.3453 10.2139
0.3493 1.8790 11.8008
0.3874 6.4791 5.0956
0.4254 4.3325 0.1195
0.4432 4.0213 4.4631
0.4981 5.8181 2.6848
0.5297 2.5751 1.9316
0.5702 4.9295 7.4603
0.6127 3.4437 9.4382
1.2384 1.1154 4.2085
1.2507 7.3071 0.3984
1.3790 0.7486 9.2877
1.3862 7.6244 7.6024
2.3730 3.2397 7.5853
2.3800 5.1703 9.2543
2.4973 2.9131 0.3705
2.5140 5.4242 4.1973
3.1446 0.5560 7.4392
3.1957 7.8580 9.3996
3.1925 1.4328 2.6573
3.2530 6.9100 1.9039
3.2611 8.4239 4.4717
3.3085 8.7273 0.1122
3.3776 6.2875 11.7483
3.3929 2.1018 5.0709
4.7217 6.5049 5.6242
4.7430 1.8804 11.2043
4.7984 4.3478 10.5959
4.8139 4.0341 6.2336
4.8542 5.8432 8.0266
4.8607 2.5421 8.8014
4.9066 3.4439 1.2922
4.9683 4.9270 3.3040
5.5848 1.0380 6.5323
5.6015 7.3152 10.3260
5.7228 0.7773 1.4661
5.7508 7.6313 3.1535
6.6799 5.1958 1.4132
6.7655 3.2482 3.0280
6.8572 2.9338 10.3036
6.8524 5.4731 6.5182
7.5131 0.5709 3.2449
7.5258 7.8526 1.3047
7.5814 6.9713 8.7924
7.6361 8.7690 10.5850
7.6309 1.5120 7.9849
7.6560 2.1102 5.5743
7.6836 8.4590 6.2150
7.7511 6.3059 11.1966
```

Summary:
The value obtained for the density of states at the Fermi level is 0.351 states/eV/atom. The value obtained for the energy is -6.9483 eV/atom.

=====

Record 2
Li4Nb3Fe3Sb2O16: optimized geometry, PBE with a Hubbard U.

```
Li4Nb3Fe3Sb2O16
1.0
6.1432 0.0000 0.0000
-2.9452 5.4023 0.0000
-0.0451 -0.0933 10.4776
Li Nb Fe Sb O
4 3 3 2 16
Cartesian
0.0000 0.0000 0.0000
-0.0221 -0.0439 5.4394
0.1041 3.5916 9.4951
3.1729 1.7813 4.3036
-1.3198 4.3254 2.3252
1.7346 4.4780 2.5306
3.1226 3.4092 7.7956
0.1274 1.7654 2.2937
1.5621 0.8323 7.6698
4.5862 0.8473 7.6569
0.0314 3.4690 5.6441
3.1270 1.5460 0.0788
-2.8947 5.3062 3.4894
-1.4014 2.8151 3.4809
-0.0697 1.6217 6.5645
-1.5438 4.4011 6.4786
1.5291 0.6571 1.0867
0.1864 3.7139 1.2170
0.1609 5.2726 3.4537
1.6559 2.7722 3.3500
1.7389 2.6906 8.9007
3.1353 0.1479 8.9259
1.6537 4.5241 6.5630
3.1908 1.8344 6.5382
4.7543 0.7034 1.1860
3.2450 3.8355 1.2605
3.0651 5.2801 8.5947
4.5660 2.6114 8.8071
```

Summary:
The value obtained for the energy is -6.9830 eV/atom.

=====

Record 3
Sr4Li4Nb5FeO20: optimized geometry, PBE with a Hubbard U.

```
Sr4Li4Nb5FeO20
1.0
2.8305 -13.2891 0.0000
2.8305 13.2891 0.0000
-0.0002 0.0000 5.6613
Sr Li Nb Fe O
4 4 5 1 20
Cartesian
2.8305 11.2678 0.0000
2.8304 2.0214 2.8307
2.8304 -2.0214 2.8307
2.8305 -11.2678 0.0000
1.4230 6.6458 4.2194
4.2378 6.6458 1.4419
1.4230 -6.6458 4.2194
4.2378 -6.6458 1.4419
2.8304 9.1748 2.8307
2.8305 4.2018 0.0000
2.8305 0.0000 0.0000
2.8305 -4.2018 0.0000
2.8304 -9.1748 2.8307
-0.0001 0.0000 2.8307
2.8304 11.2576 2.8307
1.3567 3.9628 1.3408
1.4911 3.9633 4.1865
1.1891 0.0000 4.4965
2.8304 7.2579 2.8307
2.8305 6.0875 0.0000
1.6657 0.0000 1.6412
1.3567 -3.9628 1.3408
1.4911 -3.9633 4.1865
2.8305 2.0125 0.0000
2.8305 -2.0125 0.0000
4.1697 3.9633 1.4748
4.3040 3.9628 4.3205
3.9951 0.0000 4.0202
2.8305 -6.0875 0.0000
2.8304 -7.2579 2.8307
4.4716 0.0000 1.1648
4.1697 -3.9633 1.4748
4.3040 -3.9628 4.3205
2.8304 -11.2576 2.8307
```

Summary:
The value obtained for the energy is -7.5820 eV/atom.

=====

Record 4
Li4NbFeTe2O12: optimized geometry, PBE with a Hubbard U.

```
Li4NbFeTe2O12
1.0
5.1757 0.0000 0.0000
0.0017 5.4503 0.0000
0.0171 0.5328 7.5182
Li Nb Fe Te O
4 1 1 2 12
Cartesian
0.0000 0.0000 0.0000
0.0255 0.4188 4.0584
2.6029 2.9298 7.3878
2.6163 2.9259 3.9975
2.5922 5.1582 1.7906
0.0227 2.7970 5.5198
0.0078 2.4531 1.7452
2.5948 5.4410 5.5242
0.6566 2.7141 7.4608
0.9451 0.7389 2.1739
1.0711 4.3773 4.9626
1.6105 1.5633 5.0113
1.6492 3.4168 2.1967
1.9674 5.5111 7.3743
3.2564 5.2378 3.6209
3.4896 3.7486 5.8682
3.6211 1.3384 1.2126
4.1971 0.9796 5.8860
4.2372 4.0626 1.2129
4.5474 2.4718 3.5392
```

Summary:
The value obtained for the density of states at the Fermi level is 0.000 states/eV/atom. The value obtained for the energy is -6.1543 eV/atom.

=====

Record 5
Li4Ti2Nb3Fe3O16: optimized geometry, PBE with a Hubbard U.

```
Li4Ti2Nb3Fe3O16
1.0
6.0083 0.0000 0.0000
2.9789 5.3784 0.0000
0.0974 0.3251 9.8614
Li Ti Nb Fe O
4 2 3 3 16
Cartesian
0.0000 0.0000 0.0000
3.0199 5.4531 5.0909
3.0171 1.8112 4.1456
6.0759 3.8052 9.0294
3.1106 1.7229 9.8399
6.0444 3.6045 5.1591
3.0457 3.5704 7.3533
4.4919 4.3822 2.3344
7.4838 4.3922 2.3154
1.5801 0.9858 7.0963
4.5304 1.0430 7.1199
6.0509 1.8242 2.2029
2.9910 5.4178 3.2607
3.0726 5.4191 8.0422
1.7479 2.7943 8.5564
2.9808 3.6102 1.1272
1.5400 0.7913 1.0766
2.9870 2.0356 6.0937
4.5481 4.4163 5.9947
4.3854 2.8219 8.5627
3.1240 0.4158 8.5837
4.6545 2.8726 3.4994
5.9899 5.2176 3.5521
5.9893 3.6438 1.1147
4.4627 0.7832 1.0753
5.9908 1.9246 5.9026
7.4902 4.4401 6.0447
7.3793 2.9208 3.5626
```

Summary:
The value obtained for the density of states at the Fermi level is 0.080 states/eV/atom. The value obtained for the energy is -7.6421 eV/atom.

=====

Record 6
Li4Nb2V3Fe3O16: optimized geometry, PBE with a Hubbard U.

```
Li4Nb2V3Fe3O16
1.0
6.0014 0.0000 0.0000
-2.9586 5.2381 0.0000
-0.0382 -0.0349 9.7842
Li Nb V Fe O
4 2 3 3 16
Cartesian
0.0000 0.0000 0.0000
-2.9439 5.2108 4.8975
-0.0863 3.4091 4.0054
2.8830 1.6907 8.9063
-0.0111 3.4849 0.0762
2.9938 1.7443 4.9585
-0.0307 1.7614 7.0972
-1.4344 4.2923 7.1706
1.5242 0.8676 2.2858
1.4272 4.3189 7.0693
2.9419 3.4045 2.1834
4.4174 0.8652 2.1978
0.0106 0.0598 3.0438
-2.9039 5.1997 7.9350
-1.4325 2.7205 8.3489
-0.0601 1.7383 1.0121
-1.4722 4.3580 0.9896
-0.2246 3.4439 6.0184
1.5232 0.8107 5.9347
-0.1336 4.9852 8.3879
1.2099 2.6455 8.3488
1.5627 2.3512 3.5282
2.9197 0.1199 3.4173
2.8326 1.5534 1.1424
1.4848 4.3737 0.9556
3.0174 3.4371 5.8461
4.4906 0.8432 5.8620
4.2696 2.4041 3.4549
```

Summary:
The value obtained for the energy is -7.2980 eV/atom.